(1)
{"formula": "Li3MnP2O6F4", "functional": "meta-GGA SCAN", "state": "single point on PBEsol structure", "lattice": [[-1.177, -5.794, -2.380], [-0.518, -2.689, 6.801], [-7.424, 1.686, 0.101]], "species": ["O", "O", "O", "O", "O", "O", "O", "O", "O", "O", "O", "O", "F", "F", "F", "F", "F", "F", "F", "F", "Li", "Li", "Li", "Li", "Li", "Li", "P", "P", "P", "P", "Mn", "Mn"], "fractional_positions": [[0.760, 0.038, 0.199], [0.948, 0.276, 0.381], [0.452, 0.736, 0.620], [0.452, 0.764, 0.120], [0.548, 0.236, 0.880], [0.760, 0.462, 0.699], [0.948, 0.224, 0.881], [0.548, 0.264, 0.380], [0.052, 0.776, 0.119], [0.240, 0.538, 0.301], [0.052, 0.724, 0.619], [0.240, 0.962, 0.801], [0.770, 0.614, 0.390], [0.764, 0.023, 0.523], [0.770, 0.886, 0.890], [0.236, 0.977, 0.477], [0.230, 0.114, 0.110], [0.230, 0.386, 0.610], [0.764, 0.477, 0.023], [0.236, 0.523, 0.977], [0.744, 0.758, 0.677], [0.256, 0.258, 0.823], [0.256, 0.242, 0.323], [0.500, 0.500, 0.500], [0.744, 0.742, 0.177], [0.500, 0.000, 0.000], [0.254, 0.841, 0.641], [0.254, 0.659, 0.141], [0.746, 0.341, 0.859], [0.746, 0.159, 0.359], [0.000, 0.500, 0.500], [0.000, 0.000, 0.000]], "n_ef_per_ev_cell": 0.00, "formation_energy_uncorrected_ev_per_atom": -2.705, "m_tot_mub_per_fu": 4.00, "sg": "P2_1/c, No. 14"}

(2)
{"formula": "Li4Mn3P3O12F", "functional": "meta-GGA SCAN", "state": "single point on PBEsol structure", "lattice": [[-7.938, -2.187, -1.369], [-0.913, -1.764, 8.107], [-2.413, 7.860, 1.438]], "species": ["Li", "Li", "Li", "Li", "Li", "Li", "Li", "Li", "Mn", "Mn", "Mn", "Mn", "Mn", "Mn", "F", "F", "O", "O", "O", "O", "O", "O", "O", "O", "O", "O", "O", "O", "O", "O", "O", "O", "O", "O", "O", "O", "O", "O", "O", "O", "P", "P", "P", "P", "P", "P"], "fractional_positions": [[0.143, 0.143, 0.143], [0.857, 0.857, 0.143], [0.357, 0.357, 0.643], [0.643, 0.643, 0.643], [0.643, 0.357, 0.357], [0.357, 0.643, 0.357], [0.143, 0.857, 0.857], [0.857, 0.143, 0.857], [0.500, 0.750, 0.000], [0.000, 0.500, 0.750], [0.000, 0.500, 0.250], [0.500, 0.250, 0.000], [0.750, 0.000, 0.500], [0.250, 0.000, 0.500], [0.500, 0.500, 0.500], [0.000, 0.000, 0.000], [0.600, 0.118, 0.353], [0.618, 0.900, 0.147], [0.882, 0.647, 0.600], [0.147, 0.382, 0.100], [0.353, 0.600, 0.118], [0.382, 0.100, 0.147], [0.353, 0.400, 0.882], [0.900, 0.147, 0.618], [0.100, 0.853, 0.618], [0.853, 0.382, 0.900], [0.100, 0.147, 0.382], [0.600, 0.882, 0.647], [0.882, 0.353, 0.400], [0.618, 0.100, 0.853], [0.400, 0.118, 0.647], [0.147, 0.618, 0.900], [0.118, 0.647, 0.400], [0.400, 0.882, 0.353], [0.647, 0.600, 0.882], [0.118, 0.353, 0.600], [0.382, 0.900, 0.853], [0.853, 0.618, 0.100], [0.900, 0.853, 0.382], [0.647, 0.400, 0.118], [0.500, 0.000, 0.750], [0.000, 0.750, 0.500], [0.500, 0.000, 0.250], [0.000, 0.250, 0.500], [0.250, 0.500, 0.000], [0.750, 0.500, 0.000]], "n_ef_per_ev_cell": 0.00, "formation_energy_uncorrected_ev_per_atom": -2.468, "m_tot_mub_per_fu": 15.00, "sg": "P-43n, No. 218"}

(3)
{"formula": "LiMnVP2O8F2", "functional": "meta-GGA SCAN", "state": "single point on PBEsol structure", "lattice": [[-1.906, -4.706, 0.617], [3.048, -0.045, 4.172], [-5.584, 4.422, 1.177]], "species": ["P", "P", "O", "O", "O", "O", "O", "O", "O", "O", "F", "F", "Li", "Mn", "V"], "fractional_positions": [[0.553, 0.880, 0.241], [0.443, 0.125, 0.761], [0.646, 0.180, 0.401], [0.644, 0.658, 0.331], [0.754, 0.211, 0.893], [0.366, 0.345, 0.670], [0.278, 0.137, 0.916], [0.364, 0.828, 0.596], [0.714, 0.847, 0.082], [0.236, 0.798, 0.132], [0.880, 0.694, 0.749], [0.117, 0.311, 0.249], [0.920, 0.560, 0.168], [0.506, 0.501, 0.504], [0.999, 0.996, 0.994]], "formation_energy_uncorrected_ev_per_atom": -2.607, "m_tot_mub_per_fu": 5.00, "sg": "P1, No. 1"}

(4)
{"formula": "LiMnVF6", "functional": "meta-GGA SCAN", "state": "single point on PBEsol structure", "lattice": [[4.692, 0.000, 0.000], [0.000, 4.692, 0.000], [0.000, 0.000, 9.337]], "species": ["Mn", "Mn", "F", "F", "F", "F", "F", "F", "F", "F", "F", "F", "F", "F", "V", "V", "Li", "Li"], "fractional_positions": [[0.000, 0.000, 0.001], [0.500, 0.500, 0.501], [0.292, 0.292, 0.669], [0.305, 0.305, 0.323], [0.792, 0.208, 0.169], [0.695, 0.695, 0.323], [0.195, 0.805, 0.823], [0.708, 0.708, 0.669], [0.191, 0.809, 0.506], [0.809, 0.191, 0.506], [0.805, 0.195, 0.823], [0.691, 0.691, 0.006], [0.309, 0.309, 0.006], [0.208, 0.792, 0.169], [0.000, 0.000, 0.666], [0.500, 0.500, 0.166], [0.500, 0.500, 0.833], [0.000, 0.000, 0.333]], "de_polymorph_ev_per_fu": 0.113, "formation_energy_uncorrected_ev_per_atom": -3.111, "m_tot_mub_per_fu": 7.00, "sg": "P4_2nm, No. 102"}

(5)
{"formula": "LiMnVF6", "functional": "meta-GGA SCAN", "state": "single point on PBEsol structure", "lattice": [[-3.844, -1.292, -2.192], [3.304, -7.909, -1.131], [-4.635, 1.777, 7.079]], "species": ["F", "F", "F", "F", "F", "F", "F", "F", "F", "F", "F", "F", "F", "F", "F", "F", "F", "F", "V", "V", "V", "Mn", "Mn", "Mn", "Li", "Li", "Li"], "fractional_positions": [[0.726, 0.220, 0.440], [0.266, 0.109, 0.534], [0.734, 0.534, 0.109], [0.241, 0.111, 0.222], [0.266, 0.425, 0.891], [0.266, 0.466, 0.575], [0.734, 0.575, 0.466], [0.274, 0.780, 0.560], [0.759, 0.889, 0.778], [0.759, 0.889, 0.111], [0.734, 0.891, 0.425], [0.274, 0.780, 0.220], [0.241, 0.778, 0.889], [0.241, 0.111, 0.889], [0.759, 0.222, 0.111], [0.726, 0.220, 0.780], [0.274, 0.440, 0.220], [0.726, 0.560, 0.780], [0.500, 0.000, 0.315], [0.500, 0.685, 0.685], [0.500, 0.315, 0.000], [0.000, 0.000, 0.648], [0.000, 0.352, 0.352], [0.000, 0.648, 0.000], [0.502, 0.667, 0.333], [0.498, 0.333, 0.667], [0.000, 0.000, 0.000]], "de_polymorph_ev_per_fu": 0.000, "formation_energy_uncorrected_ev_per_atom": -3.124, "m_tot_mub_per_fu": 7.00, "sg": "P321, No. 150"}

(6)
{"formula": "Li2MoF6", "functional": "meta-GGA SCAN", "state": "single point on PBEsol structure", "lattice": [[4.655, 0.000, 0.000], [0.000, 4.655, 0.000], [0.000, 0.000, 9.175]], "species": ["F", "F", "F", "F", "F", "F", "F", "F", "F", "F", "F", "F", "Mo", "Mo", "Li", "Li", "Li", "Li"], "fractional_positions": [[0.696, 0.696, 0.662], [0.804, 0.196, 0.838], [0.196, 0.804, 0.162], [0.205, 0.795, 0.500], [0.304, 0.304, 0.338], [0.696, 0.696, 0.338], [0.295, 0.295, 0.000], [0.304, 0.304, 0.662], [0.795, 0.205, 0.500], [0.804, 0.196, 0.162], [0.705, 0.705, 0.000], [0.196, 0.804, 0.838], [0.000, 0.000, 0.000], [0.500, 0.500, 0.500], [0.000, 0.000, 0.335], [0.500, 0.500, 0.165], [0.000, 0.000, 0.665], [0.500, 0.500, 0.835]], "formation_energy_uncorrected_ev_per_atom": -2.889, "m_tot_mub_per_fu": 2.00, "sg": "P4_2/mnm, No. 136"}

(7)
{"formula": "LiMoN2F", "functional": "meta-GGA SCAN", "state": "single point on PBEsol structure", "lattice": [[-2.823, -1.954, -1.789], [2.639, -2.304, -1.648], [-0.244, -2.536, 3.156]], "species": ["F", "N", "N", "Li", "Mo"], "fractional_positions": [[0.000, 0.000, 0.500], [0.500, 0.000, 0.000], [0.000, 0.500, 0.000], [0.500, 0.500, 0.500], [0.000, 0.000, 0.000]], "n_ef_per_ev_cell": 1.50, "formation_energy_uncorrected_ev_per_atom": -0.739, "m_tot_mub_per_fu": 0.11, "sg": "P4/mmm, No. 123"}

(8)
{"formula": "LiS2NO4F2", "functional": "meta-GGA SCAN", "state": "single point on PBEsol structure", "lattice": [[-7.609, -3.737, 1.630], [5.128, -3.166, -6.180], [5.573, -7.627, 8.532]], "species": ["O", "O", "O", "O", "O", "O", "O", "O", "O", "O", "O", "O", "O", "O", "O", "O", "O", "O", "O", "O", "O", "O", "O", "O", "Li", "Li", "Li", "Li", "Li", "Li", "N", "N", "N", "N", "N", "N", "F", "F", "F", "F", "F", "F", "F", "F", "F", "F", "F", "F", "S", "S", "S", "S", "S", "S", "S", "S", "S", "S", "S", "S"], "fractional_positions": [[0.130, 0.514, 0.861], [0.446, 0.156, 0.940], [0.384, 0.870, 0.861], [0.384, 0.870, 0.639], [0.446, 0.156, 0.560], [0.554, 0.844, 0.440], [0.291, 0.446, 0.060], [0.616, 0.130, 0.361], [0.486, 0.616, 0.639], [0.514, 0.384, 0.139], [0.156, 0.709, 0.440], [0.291, 0.446, 0.440], [0.130, 0.514, 0.639], [0.844, 0.291, 0.940], [0.554, 0.844, 0.060], [0.486, 0.616, 0.861], [0.709, 0.554, 0.940], [0.870, 0.486, 0.361], [0.514, 0.384, 0.361], [0.870, 0.486, 0.139], [0.156, 0.709, 0.060], [0.616, 0.130, 0.139], [0.709, 0.554, 0.560], [0.844, 0.291, 0.560], [0.333, 0.667, 0.750], [0.667, 0.333, 0.250], [0.333, 0.667, 0.520], [0.667, 0.333, 0.480], [0.333, 0.667, 0.980], [0.667, 0.333, 0.020], [0.407, 0.126, 0.750], [0.593, 0.874, 0.250], [0.281, 0.407, 0.250], [0.719, 0.593, 0.750], [0.874, 0.281, 0.750], [0.126, 0.719, 0.250], [0.208, 0.157, 0.127], [0.843, 0.050, 0.373], [0.792, 0.843, 0.627], [0.843, 0.050, 0.127], [0.792, 0.843, 0.873], [0.208, 0.157, 0.373], [0.157, 0.950, 0.627], [0.050, 0.208, 0.873], [0.157, 0.950, 0.873], [0.050, 0.208, 0.627], [0.950, 0.792, 0.373], [0.950, 0.792, 0.127], [0.338, 0.365, 0.142], [0.365, 0.027, 0.642], [0.635, 0.973, 0.358], [0.662, 0.635, 0.858], [0.365, 0.027, 0.858], [0.635, 0.973, 0.142], [0.973, 0.338, 0.858], [0.973, 0.338, 0.642], [0.027, 0.662, 0.358], [0.027, 0.662, 0.142], [0.662, 0.635, 0.642], [0.338, 0.365, 0.358]], "n_ef_per_ev_cell": 0.00, "formation_energy_uncorrected_ev_per_atom": -1.528, "m_tot_mub_per_fu": 0.00, "sg": "P6_3/m, No. 176"}

(9)
{"formula": "LiPbN2F", "functional": "meta-GGA SCAN", "state": "single point on PBEsol structure", "lattice": [[-0.246, 3.125, 2.946], [-3.040, 1.958, -2.331], [-3.188, -2.328, 2.203]], "species": ["N", "N", "Pb", "Li", "F"], "fractional_positions": [[0.000, 0.500, 0.000], [0.500, 0.000, 0.000], [0.000, 0.000, 0.000], [0.500, 0.500, 0.500], [0.000, 0.000, 0.500]], "n_ef_per_ev_cell": 2.08, "formation_energy_uncorrected_ev_per_atom": 0.510, "m_tot_mub_per_fu": 2.15, "sg": "P4/mmm, No. 123"}

(10)
{"formula": "LiPdNF2", "functional": "meta-GGA SCAN", "state": "single point on PBEsol structure", "lattice": [[3.622, 0.000, 0.000], [0.000, 4.355, 0.000], [0.000, 0.000, 4.355]], "species": ["N", "Li", "F", "F", "Pd"], "fractional_positions": [[0.500, 0.000, 0.000], [0.500, 0.500, 0.500], [0.000, 0.500, 0.000], [0.000, 0.000, 0.500], [0.000, 0.000, 0.000]], "n_ef_per_ev_cell": 1.56, "formation_energy_uncorrected_ev_per_atom": -0.730, "m_tot_mub_per_fu": 0.00, "sg": "P4/mmm, No. 123"}

(11)
{"formula": "LiPtNF2", "functional": "meta-GGA SCAN", "state": "single point on PBEsol structure", "lattice": [[3.261, 0.000, 0.000], [0.000, 3.261, 0.000], [0.000, 0.000, 4.589]], "species": ["F", "F", "Pt", "N", "Li"], "fractional_positions": [[0.500, 0.000, 0.000], [0.000, 0.500, 0.000], [0.500, 0.500, 0.500], [0.000, 0.000, 0.500], [0.000, 0.000, 0.000]], "n_ef_per_ev_cell": 1.22, "formation_energy_uncorrected_ev_per_atom": -0.285, "m_tot_mub_per_fu": 2.13, "sg": "P4/mmm, No. 123"}

(12)
{"formula": "LiSNF2", "functional": "meta-GGA SCAN", "state": "single point on PBEsol structure", "lattice": [[-1.440, 1.766, -2.381], [-0.799, -3.660, -2.231], [-3.839, -0.397, 2.027]], "species": ["F", "F", "N", "Li", "S"], "fractional_positions": [[0.000, 0.000, 0.500], [0.000, 0.500, 0.000], [0.500, 0.000, 0.000], [0.500, 0.500, 0.500], [0.000, 0.000, 0.000]], "n_ef_per_ev_cell": 1.34, "formation_energy_uncorrected_ev_per_atom": -0.590, "m_tot_mub_per_fu": 0.00, "sg": "P4/mmm, No. 123"}